(1)
## Cd2Te2Pt (GGA-PBE)

Data for a geometry-optimized Cd2Te2Pt structure.

Summary:
DOS(E_F) = 8.8 states/eV/cell

Lattice parameters (Å, degrees): 7.4793 7.4793 4.3351 90.00 90.00 90.00
Closest atoms and distances in Å follow each position.
Positions (direct):
1 Pt 0.5000 0.5000 0.0000  4 Cd 2.90
2 Pt 0.0000 0.0000 0.0000  4 Cd 2.90
3 Te 0.1795 0.6795 0.5000  6 Cd 2.90-3.23
4 Te 0.8205 0.3205 0.5000  6 Cd 2.90-3.23
5 Te 0.6795 0.8205 0.5000  6 Cd 2.90-3.23
6 Te 0.3205 0.1795 0.5000  6 Cd 2.90-3.23
7 Cd 0.8616 0.6384 0.0000  2 Pt 2.90, 6 Te 2.90-3.23, 1 Cd 2.93
8 Cd 0.1384 0.3616 0.0000  2 Pt 2.90, 6 Te 2.90-3.23, 1 Cd 2.93
9 Cd 0.3616 0.8616 0.0000  2 Pt 2.90, 6 Te 2.90-3.23, 1 Cd 2.93
10 Cd 0.6384 0.1384 0.0000  2 Pt 2.90, 6 Te 2.90-3.23, 1 Cd 2.93



(2)
## Cd2TePt2 (GGA-PBE)

Data for a geometry-optimized Cd2TePt2 structure.

Summary:
DOS(E_F) = 3.4 states/eV/cell

Lattice parameters (Å, degrees): 3.9034 3.9034 7.3204 74.54 74.54 90.00
Closest atoms and distances in Å follow each position.
Positions (direct):
1 Cd 0.7500 0.2500 0.5000  4 Cd 2.76, 4 Pt 2.84
2 Cd 0.2500 0.7500 0.5000  4 Cd 2.76, 4 Pt 2.84
3 Pt 0.5979 0.5979 0.8042  1 Pt 2.65, 4 Cd 2.84
4 Pt 0.4021 0.4021 0.1958  1 Pt 2.65, 4 Cd 2.84
5 Te 0.0000 0.0000 0.0000  8 Pt 3.06



Offset from the most stable computed form readings, ordered: 0.243 0.153 eV per atom
Formation energy (no corrections) readings, ordered: 236 -34 meV/atom
Total DFT energy (no corrections) readings, ordered: -0.095 -0.127 hartree per atom